# Mn2SbOs

A geometry-optimized Mn2SbOs structure (PBE, Alexandria).

Calculated values
- raw total energy (eV/atom) = -8.2035
- raw formation energy (eV/atom) = 0.22
- calculated volume (Å³ per cell) = 60

Cell lengths 3.887, 3.887, 3.963 Å; angles 90.00, 90.00, 90.00 degrees
Positions (direct):
Mn  0.000  0.500  0.000
Mn  0.500  0.000  0.000
Sb  0.000  0.000  0.500
Os  0.500  0.500  0.500

# Mn2SbOs

A geometry-optimized Mn2SbOs structure (PBE, Alexandria).

Calculated values
- raw total energy (eV/atom) = -8.0455
- raw formation energy (eV/atom) = 0.38
- calculated volume (Å³ per cell) = 59

Cell lengths 2.860, 2.860, 7.243 Å; angles 90.00, 90.00, 90.00 degrees
Positions (direct):
Mn  0.000  0.000  0.228
Mn  0.000  0.000  0.772
Sb  0.500  0.500  0.500
Os  0.500  0.500  0.000

# MnSbOs2

A geometry-optimized MnSbOs2 structure (PBE, Alexandria).

Calculated values
- raw total energy (eV/atom) = -8.5222
- raw formation energy (eV/atom) = 0.42
- calculated volume (Å³ per cell) = 65

Cell lengths 2.871, 3.876, 6.056 Å; angles 90.00, 103.59, 90.00 degrees
Positions (direct):
Mn  0.000  0.000  0.000
Sb  0.381  0.500  0.762
Os  0.209  0.000  0.425
Os  0.617  0.500  0.239

# MnSb2Os

A geometry-optimized MnSb2Os structure (PBE, Alexandria).

Calculated values
- polymorph energy (0 for the lowest one) (eV per formula unit) = 0.99
- raw total energy (eV/atom) = -6.6991
- raw formation energy (eV/atom) = 0.46
- calculated volume (Å³ per cell) = 75

Cell lengths 8.500, 8.500, 8.500 Å; angles 21.89, 21.89, 21.89 degrees
Positions (direct):
Mn  0.000  0.000  0.000
Sb  0.248  0.248  0.248
Sb  0.752  0.752  0.752
Os  0.500  0.500  0.500

# MnSb3Os

A geometry-optimized MnSb3Os structure (PBE, Alexandria).

Calculated values
- polymorph energy (0 for the lowest one) (eV per formula unit) = 1.19
- raw total energy (eV/atom) = -5.1371
- raw formation energy (eV/atom) = 1.42
- calculated volume (Å³ per cell) = 134

Cell lengths 5.121, 5.121, 5.121 Å; angles 90.00, 90.00, 90.00 degrees
Positions (direct):
Mn  0.000  0.000  0.000
Sb  0.000  0.500  0.500
Sb  0.500  0.000  0.500
Sb  0.500  0.500  0.000
Os  0.500  0.500  0.500

# Mn2SbOs

A geometry-optimized Mn2SbOs structure (PBE, Alexandria).

Calculated values
- raw total energy (eV/atom) = -8.1347
- raw formation energy (eV/atom) = 0.29
- calculated volume (Å³ per cell) = 60

Cell lengths 4.583, 4.583, 4.706 Å; angles 100.50, 100.50, 38.55 degrees
Positions (direct):
Mn  0.000  0.000  0.000
Mn  0.747  0.747  0.233
Sb  0.502  0.502  0.489
Os  0.260  0.260  0.792

# MnSbOs2

A geometry-optimized MnSbOs2 structure (PBE, Alexandria).

Calculated values
- raw total energy (eV/atom) = -8.3496
- raw formation energy (eV/atom) = 0.59
- calculated volume (Å³ per cell) = 63

Cell lengths 2.958, 4.580, 4.630 Å; angles 90.00, 90.00, 90.00 degrees
Positions (direct):
Mn  0.000  0.000  0.000
Sb  0.500  0.000  0.500
Os  0.000  0.500  0.500
Os  0.500  0.500  0.000

# MnSbOs2

A geometry-optimized MnSbOs2 structure (PBE, Alexandria).

Calculated values
- raw total energy (eV/atom) = -8.5901
- raw formation energy (eV/atom) = 0.35
- calculated volume (Å³ per cell) = 63

Cell lengths 4.582, 4.582, 4.980 Å; angles 100.08, 100.08, 37.67 degrees
Positions (direct):
Mn  0.000  0.000  0.000
Sb  0.500  0.500  0.500
Os  0.260  0.260  0.779
Os  0.740  0.740  0.221

# Mn2SbOs

A geometry-optimized Mn2SbOs structure (PBE, Alexandria).

Calculated values
- raw total energy (eV/atom) = -8.1348
- raw formation energy (eV/atom) = 0.29
- calculated volume (Å³ per cell) = 60

Cell lengths 2.942, 4.382, 4.636 Å; angles 90.00, 90.00, 90.00 degrees
Positions (direct):
Mn  0.000  0.000  0.000
Mn  0.000  0.500  0.294
Sb  0.500  0.000  0.486
Os  0.500  0.500  0.836

# MnSb6Os

A geometry-optimized MnSb6Os structure (PBE, Alexandria).

Calculated values
- raw total energy (eV/atom) = -5.6489
- raw formation energy (eV/atom) = -0.01
- calculated volume (Å³ per cell) = 422

Cell lengths 8.173, 8.173, 9.464 Å; angles 125.24, 125.24, 70.35 degrees
Positions (direct):
Mn  0.000  0.500  0.000
Mn  0.500  0.000  0.000
Sb  0.005  0.315  0.657
Sb  0.156  0.836  0.842
Sb  0.164  0.844  0.158
Sb  0.315  0.005  0.657
Sb  0.346  0.346  0.194
Sb  0.346  0.346  0.516
Sb  0.654  0.654  0.484
Sb  0.654  0.654  0.806
Sb  0.685  0.995  0.343
Sb  0.836  0.156  0.842
Sb  0.844  0.164  0.158
Sb  0.995  0.685  0.343
Os  0.000  0.500  0.500
Os  0.500  0.000  0.500

# MnSb2Os

A geometry-optimized MnSb2Os structure (PBE, Alexandria).

Calculated values
- polymorph energy (0 for the lowest one) (eV per formula unit) = 1.15
- raw total energy (eV/atom) = -6.6594
- raw formation energy (eV/atom) = 0.50
- calculated volume (Å³ per cell) = 68

Cell lengths 4.575, 4.575, 4.575 Å; angles 60.00, 60.00, 60.00 degrees
Positions (direct):
Mn  0.000  0.000  0.000
Sb  0.250  0.250  0.250
Sb  0.750  0.750  0.750
Os  0.500  0.500  0.500

# MnSb2Os

A geometry-optimized MnSb2Os structure (PBE, Alexandria).

Calculated values
- polymorph energy (0 for the lowest one) (eV per formula unit) = 1.43
- raw total energy (eV/atom) = -6.5905
- raw formation energy (eV/atom) = 0.57
- calculated volume (Å³ per cell) = 75

Cell lengths 5.445, 5.445, 5.445 Å; angles 136.80, 136.80, 62.75 degrees
Positions (direct):
Mn  0.000  0.000  0.000
Sb  0.500  0.500  0.000
Sb  0.750  0.250  0.500
Os  0.250  0.750  0.500

# Sc2MnSbOs

A geometry-optimized Sc2MnSbOs structure (PBE, Alexandria).

Calculated values
- raw total energy (eV/atom) = -7.2238
- raw formation energy (eV/atom) = 0.21
- calculated volume (Å³ per cell) = 102

Cell lengths 4.807, 4.807, 4.417 Å; angles 90.00, 90.00, 90.00 degrees
Positions (direct):
Sc  0.000  0.500  0.000
Sc  0.500  0.000  0.000
Mn  0.000  0.000  0.000
Sb  0.500  0.500  0.500
Os  0.000  0.000  0.500

# MnTc2SbOs

A geometry-optimized MnTc2SbOs structure (PBE, Alexandria).

Calculated values
- raw total energy (eV/atom) = -6.4858
- raw formation energy (eV/atom) = 2.56
- calculated volume (Å³ per cell) = 108

Cell lengths 4.767, 4.767, 4.753 Å; angles 90.00, 90.00, 90.00 degrees
Positions (direct):
Mn  0.000  0.000  0.000
Tc  0.000  0.500  0.500
Tc  0.500  0.000  0.500
Sb  0.500  0.500  0.500
Os  0.500  0.500  0.000

# MnSbTe2Os

A geometry-optimized MnSbTe2Os structure (PBE, Alexandria).

Calculated values
- polymorph energy (0 for the lowest one) (eV per formula unit) = 1.06
- raw total energy (eV/atom) = -4.6919
- raw formation energy (eV/atom) = 1.47
- calculated volume (Å³ per cell) = 140

Cell lengths 5.308, 5.308, 4.981 Å; angles 90.00, 90.00, 90.00 degrees
Positions (direct):
Mn  0.000  0.000  0.000
Sb  0.500  0.500  0.000
Te  0.000  0.500  0.500
Te  0.500  0.000  0.500
Os  0.500  0.500  0.500

# MnSbTe2Os

A geometry-optimized MnSbTe2Os structure (PBE, Alexandria).

Calculated values
- polymorph energy (0 for the lowest one) (eV per formula unit) = 0.00
- raw total energy (eV/atom) = -4.9043
- raw formation energy (eV/atom) = 1.26
- calculated volume (Å³ per cell) = 118

Cell lengths 4.928, 4.928, 4.866 Å; angles 90.00, 90.00, 90.00 degrees
Positions (direct):
Mn  0.000  0.000  0.000
Sb  0.000  0.000  0.500
Te  0.000  0.500  0.000
Te  0.500  0.000  0.000
Os  0.500  0.500  0.500

# TiMnSbOs2

A geometry-optimized TiMnSbOs2 structure (PBE, Alexandria).

Calculated values
- raw total energy (eV/atom) = -6.9933
- raw formation energy (eV/atom) = 1.74
- calculated volume (Å³ per cell) = 108

Cell lengths 4.803, 4.803, 4.690 Å; angles 90.00, 90.00, 90.00 degrees
Positions (direct):
Ti  0.000  0.000  0.000
Mn  0.500  0.500  0.000
Sb  0.500  0.500  0.500
Os  0.000  0.500  0.500
Os  0.500  0.000  0.500

# ScMn2Os

A geometry-optimized ScMn2Os structure (PBE, Alexandria).

Calculated values
- polymorph energy (0 for the lowest one) (eV per formula unit) = 1.14
- raw total energy (eV/atom) = -8.6442
- E_form (meV per atom) = 331
- calculated volume (Å³ per cell) = 60

Cell lengths 8.934, 8.934, 8.934 Å; angles 18.11, 18.11, 18.11 degrees
Positions (direct):
Sc  0.000  0.000  0.000
Mn  0.245  0.245  0.245
Mn  0.755  0.755  0.755
Os  0.500  0.500  0.500

# Sc2MnOs

A geometry-optimized Sc2MnOs structure (PBE, Alexandria).

Calculated values
- polymorph energy (0 for the lowest one) (eV per formula unit) = 2.72
- raw total energy (eV/atom) = -7.7681
- E_form (meV per atom) = 498
- calculated volume (Å³ per cell) = 69

Cell lengths 9.205, 9.205, 9.205 Å; angles 18.55, 18.55, 18.55 degrees
Positions (direct):
Sc  0.089  0.089  0.089
Sc  0.911  0.911  0.911
Mn  0.000  0.000  0.000
Os  0.500  0.500  0.500

# ScMn3Os

A geometry-optimized ScMn3Os structure (PBE, Alexandria).

Calculated values
- polymorph energy (0 for the lowest one) (eV per formula unit) = 5.56
- raw total energy (eV/atom) = -7.0135
- E_form (meV per atom) = 2000
- calculated volume (Å³ per cell) = 73

Cell lengths 4.171, 4.171, 4.171 Å; angles 90.00, 90.00, 90.00 degrees
Positions (direct):
Sc  0.000  0.000  0.000
Mn  0.000  0.000  0.500
Mn  0.000  0.500  0.000
Mn  0.500  0.000  0.000
Os  0.500  0.500  0.500